A plane-wave DFT calculation with meta-GGA SCAN was carried out for a PBEsol-optimized structure of YCuSi.

Properties
The density comes out at 5.58 g cm⁻³. The value obtained for the total energy is -55.19 eV for the cell shown. The symmetry is No. 187. The uncorrected formation energy is -709 meV per atom.

Lattice parameters (Å, degrees): 3.7364 4.0762 4.0762 120.00 90.00 90.00
Closest atoms and distances in Å follow each position.
Positions (direct):
Si1 0.0000 0.6667 0.3333  3 Cu 2.35
Cu1 0.0000 0.0000 0.0000  3 Si 2.35
Y1 0.5000 0.3333 0.6667  6 Si 3.00, 6 Cu 3.00